Entry 1:
VASP calculation (GGA-PBE) on Na3PmP4O12 after structural relaxation.

As for the crystal system: trigonal. The uncorrected formation energy is -189.4 kJ/mol of atoms. The total moment comes out at 0.000 μB/f.u.

Cell lengths 6.953, 6.953, 6.953 Å; angles 102.75, 102.75, 102.75 degrees
Element x y z (fractional)
O 0.966 0.163 0.343
O 0.837 0.034 0.657
O 0.034 0.657 0.837
Na 0.000 0.542 0.458
O 0.500 0.101 0.899
P 0.500 0.963 0.037
Pm 0.000 0.000 0.000
O 0.101 0.899 0.500
P 0.037 0.500 0.963
O 0.500 0.362 0.638
Na 0.542 0.458 0.000
O 0.362 0.638 0.500
O 0.163 0.343 0.966
O 0.657 0.837 0.034
O 0.899 0.500 0.101
O 0.343 0.966 0.163
P 0.500 0.500 0.500
P 0.963 0.037 0.500
Na 0.458 0.000 0.542
O 0.638 0.500 0.362

Entry 2:
VASP calculation (GGA-PBE) on AcPuTeBr after structural relaxation.

As for the crystal system: cubic. The uncorrected formation energy is -98.0 kJ/mol of atoms. The total moment comes out at 7.125 μB/f.u.

Cell lengths 5.526, 5.526, 5.526 Å; angles 60.00, 60.00, 60.00 degrees
Element x y z (fractional)
Te 0.000 0.000 0.000
Ac 0.750 0.750 0.750
Br 0.500 0.500 0.500
Pu 0.250 0.250 0.250

Entry 3:
VASP calculation (GGA-PBE) on Na2TbCl5 after structural relaxation.

As for the crystal system: orthorhombic. The uncorrected formation energy is -196.1 kJ/mol of atoms. The total moment comes out at 0.000 μB/f.u.

Cell lengths 5.322, 7.419, 13.711 Å; angles 90.00, 90.00, 111.02 degrees
Element x y z (fractional)
Na 0.145 0.290 0.946
Cl 0.956 0.911 0.878
Cl 0.044 0.089 0.378
Cl 0.956 0.911 0.622
Cl 0.720 0.441 0.250
Na 0.855 0.710 0.054
Cl 0.302 0.605 0.095
Na 0.855 0.710 0.446
Tb 0.182 0.365 0.250
Cl 0.044 0.089 0.122
Cl 0.280 0.559 0.750
Na 0.145 0.290 0.554
Cl 0.698 0.395 0.595
Cl 0.698 0.395 0.905
Tb 0.818 0.635 0.750
Cl 0.302 0.605 0.405

Entry 4:
VASP calculation (GGA-PBE) on LiDy2HfP4 after structural relaxation.

As for the crystal system: monoclinic. The total moment comes out at 0.000 μB/f.u. The formation energy comes out at -1.1098 eV/atom.

Cell lengths 3.868, 6.830, 6.596 Å; angles 109.73, 90.00, 90.00 degrees
Element x y z (fractional)
Li 0.500 0.500 0.000
Dy 0.500 0.000 0.500
P 0.500 0.761 0.768
Hf 0.000 0.000 0.000
Dy 0.000 0.500 0.500
P 0.000 0.247 0.767
P 0.500 0.239 0.232
P 0.000 0.753 0.233